# B3SbPd (PBE, optimized geometry)
data_B3SbPd
_chemical_formula_sum 'B3 Sb1 Pd1'
_space_group_name_H-M_alt 'P m -3 m'
_space_group_IT_number 221
_space_group_name_Hall '-P 4 2 3'
_cell_length_a 4.193
_cell_length_b 4.193
_cell_length_c 4.193
_cell_angle_alpha 90.00
_cell_angle_beta 90.00
_cell_angle_gamma 90.00
loop_
_atom_site_label
_atom_site_fract_x
_atom_site_fract_y
_atom_site_fract_z
B1 0.000 0.000 0.500
Sb1 0.500 0.500 0.500
Pd1 0.000 0.000 0.000
# Formation energy from raw total energies = 7.1 eV per formula unit
# Energy = -4.446 eV/atom
# Relative energy among the computed polymorphs = 0 meV per atom